Record 1
The following is a PBEsol calculation of a relaxed Co2IrRh crystal, from the Alexandria database.

Values from the calculation:
As for the energy of formation: 0.248 eV per atom. For the density of states at the Fermi level, the calculation gives 2.132 states/eV/atom.

Unit cell a=4.1140 b=4.1140 c=4.1140 alpha=60.00 beta=60.00 gamma=60.00
Fractional coordinates of all 4 atoms:
Co  0.2500  0.2500  0.2500
Co  0.7500  0.7500  0.7500
Ir  0.0000  0.0000  0.0000
Rh  0.5000  0.5000  0.5000

=====

Record 2
The following is a PBEsol calculation of a relaxed CoIrRh2 crystal, from the Alexandria database.

Values from the calculation:
As for the energy of formation: 0.026 eV per atom. For the density of states at the Fermi level, the calculation gives 1.132 states/eV/atom.

Unit cell a=4.5592 b=4.5592 c=4.5200 alpha=99.94 beta=99.94 gamma=33.84
Fractional coordinates of all 4 atoms:
Co  0.0000  0.0000  0.0000
Ir  0.5000  0.5000  0.5000
Rh  0.2518  0.2518  0.7541
Rh  0.7482  0.7482  0.2459

=====

Record 3
The following is a PBEsol calculation of a relaxed Co2IrRh crystal, from the Alexandria database.

Values from the calculation:
As for the energy of formation: 0.053 eV per atom. For the density of states at the Fermi level, the calculation gives 1.282 states/eV/atom.

Unit cell a=3.6847 b=3.6847 c=3.5306 alpha=90.00 beta=90.00 gamma=90.00
Fractional coordinates of all 4 atoms:
Co  0.0000  0.5000  0.0000
Co  0.5000  0.0000  0.0000
Ir  0.0000  0.0000  0.5000
Rh  0.5000  0.5000  0.5000

=====

Record 4
The following is a PBEsol calculation of a relaxed CoIrRh2 crystal, from the Alexandria database.

Values from the calculation:
As for the energy of formation: 0.032 eV per atom. For the density of states at the Fermi level, the calculation gives 1.149 states/eV/atom.

Unit cell a=2.6617 b=2.6617 c=7.2825 alpha=90.00 beta=90.00 gamma=90.00
Fractional coordinates of all 4 atoms:
Co  0.0000  0.0000  0.0000
Ir  0.0000  0.0000  0.5000
Rh  0.5000  0.5000  0.2390
Rh  0.5000  0.5000  0.7610

=====

| no. | ΔE to the lowest computed polymorph (meV/atom) |
| --- | --- |
| 1 | 215.8 |
| 2 | 10.8 |
| 3 | 20.4 |
| 4 | 16.5 |